[1]
Pm2HoTe5 | PBE | optimized geometry

## Properties
The formation energy from raw total energies comes out at -28.1 kcal/mol of atoms. The total magnetization is 0.00 Bohr magnetons per cell. Its total DFT energy (no corrections) is -4.94 eV per atom.

Geometry as CIF:
```
data_Pm2HoTe5
_symmetry_space_group_name_H-M 'C m c m'
_symmetry_Int_Tables_number 63
_symmetry_space_group_name_Hall '-C 2c 2'
_cell_length_a 6.238
_cell_length_b 15.202
_cell_length_c 13.616
_cell_angle_alpha 90.00
_cell_angle_beta 90.00
_cell_angle_gamma 90.00
loop_
_atom_site_label
_atom_site_fract_x
_atom_site_fract_y
_atom_site_fract_z
_atom_site_occupancy
Pm1 0.000 0.161 0.063 1
Ho1 0.000 0.201 0.750 1
Te1 0.000 0.035 0.625 1
Te2 0.000 0.281 0.250 1
Te3 0.000 0.326 0.576 1
```



[2]
TcNiHg2 | PBE | optimized geometry

## Properties
For the formation energy, the calculation gives 0.6084 eV/atom. As for the energy above the most stable polymorph in this dataset: 108.3 kJ/mol of formula units. The total magnetization is 8.47 Bohr magnetons per cell. Its total DFT energy (no corrections) is -3.58 eV per atom.

Geometry as CIF:
```
data_TcNiHg2
_symmetry_space_group_name_H-M 'F m -3 m'
_symmetry_Int_Tables_number 225
_symmetry_space_group_name_Hall '-F 4 2 3'
_cell_length_a 6.496
_cell_length_b 6.496
_cell_length_c 6.496
_cell_angle_alpha 90.00
_cell_angle_beta 90.00
_cell_angle_gamma 90.00
loop_
_atom_site_label
_atom_site_fract_x
_atom_site_fract_y
_atom_site_fract_z
_atom_site_occupancy
Tc1 0.000 0.000 0.000 1
Ni1 0.000 0.000 0.500 1
Hg1 0.250 0.250 0.250 1
```



[3]
TlAgPb2 | PBE | optimized geometry

## Properties
For the formation energy, the calculation gives 0.1062 eV/atom. As for the energy above the most stable polymorph in this dataset: 31.9 kJ/mol of formula units. The total magnetization is 0.00 Bohr magnetons per cell. Its total DFT energy (no corrections) is -3.05 eV per atom.

Geometry as CIF:
```
data_TlAgPb2
_symmetry_space_group_name_H-M 'I -4 m 2'
_symmetry_Int_Tables_number 119
_symmetry_space_group_name_Hall 'I -4 -2'
_cell_length_a 4.737
_cell_length_b 4.737
_cell_length_c 9.845
_cell_angle_alpha 90.00
_cell_angle_beta 90.00
_cell_angle_gamma 90.00
loop_
_atom_site_label
_atom_site_fract_x
_atom_site_fract_y
_atom_site_fract_z
_atom_site_occupancy
Tl1 0.000 0.000 0.000 1
Ag1 0.000 0.500 0.750 1
Pb1 0.000 0.000 0.500 1
Pb2 0.000 0.500 0.250 1
```



[4]
Cd2CuAg | PBE | optimized geometry

## Properties
For the formation energy, the calculation gives 0.2248 eV/atom. The total magnetization is 0.00 Bohr magnetons per cell. Its total DFT energy (no corrections) is -1.97 eV per atom.

Geometry as CIF:
```
data_Cd2CuAg
_symmetry_space_group_name_H-M 'R 3 m'
_symmetry_Int_Tables_number 160
_symmetry_space_group_name_Hall 'R 3 -2"'
_cell_length_a 3.7796
_cell_length_b 3.7796
_cell_length_c 20.2142
_cell_angle_alpha 90.00
_cell_angle_beta 90.00
_cell_angle_gamma 120.00
loop_
_atom_site_label
_atom_site_fract_x
_atom_site_fract_y
_atom_site_fract_z
_atom_site_occupancy
Cd1 0.0000 0.0000 0.0000 1
Cd2 0.0000 0.0000 0.1817 1
Cu1 0.0000 0.0000 0.5919 1
Ag1 0.0000 0.0000 0.7564 1
```



[5]
Tb3CoB7 | PBE | optimized geometry

## Properties
For the formation energy, the calculation gives -0.5423 eV/atom. The total magnetization is 0.00 Bohr magnetons per cell. Its total DFT energy (no corrections) is -6.70 eV per atom.

Geometry as CIF:
```
data_Tb3CoB7
_symmetry_space_group_name_H-M 'C m c m'
_symmetry_Int_Tables_number 63
_symmetry_space_group_name_Hall '-C 2c 2'
_cell_length_a 3.419
_cell_length_b 15.812
_cell_length_c 9.369
_cell_angle_alpha 90.00
_cell_angle_beta 90.00
_cell_angle_gamma 90.00
loop_
_atom_site_label
_atom_site_fract_x
_atom_site_fract_y
_atom_site_fract_z
_atom_site_occupancy
Tb1 0.000 0.105 0.062 1
Tb2 0.000 0.244 0.750 1
Co1 0.000 0.055 0.750 1
B1 0.000 0.272 0.032 1
B2 0.000 0.370 0.153 1
B3 0.000 0.462 0.750 1
B4 0.000 0.478 0.098 1
```



[6]
Y4IrRu2 | PBE | optimized geometry

## Properties
For the formation energy, the calculation gives -0.3948 eV/atom. The total magnetization is 0.00 Bohr magnetons per cell. Its total DFT energy (no corrections) is -8.00 eV per atom.

Geometry as CIF:
```
data_Y4IrRu2
_symmetry_space_group_name_H-M 'R -3 m'
_symmetry_Int_Tables_number 166
_symmetry_space_group_name_Hall '-R 3 2"'
_cell_length_a 4.8419
_cell_length_b 4.8419
_cell_length_c 23.3910
_cell_angle_alpha 90.00
_cell_angle_beta 90.00
_cell_angle_gamma 120.00
loop_
_atom_site_label
_atom_site_fract_x
_atom_site_fract_y
_atom_site_fract_z
_atom_site_occupancy
Y1 0.0000 0.0000 0.1234 1
Y2 0.0000 0.0000 0.3741 1
Ir1 0.0000 0.0000 0.5000 1
Ru1 0.0000 0.0000 0.2486 1
```



[7]
Ba2SrCd | PBE | optimized geometry

## Properties
For the formation energy, the calculation gives -0.1292 eV/atom. The total magnetization is 0.00 Bohr magnetons per cell. Its total DFT energy (no corrections) is -1.74 eV per atom.

Geometry as CIF:
```
data_Ba2SrCd
_symmetry_space_group_name_H-M 'I m m 2'
_symmetry_Int_Tables_number 44
_symmetry_space_group_name_Hall 'I 2 -2'
_cell_length_a 4.375
_cell_length_b 6.479
_cell_length_c 13.713
_cell_angle_alpha 90.00
_cell_angle_beta 90.00
_cell_angle_gamma 90.00
loop_
_atom_site_label
_atom_site_fract_x
_atom_site_fract_y
_atom_site_fract_z
_atom_site_occupancy
Ba1 0.000 0.000 0.000 1
Ba2 0.000 0.500 0.197 1
Sr1 0.000 0.000 0.398 1
Cd1 0.000 0.500 0.704 1
```



[8]
La2NdThSe4 | PBE | optimized geometry

## Properties
The formation energy from raw total energies comes out at -42.5 kcal/mol of atoms. The total magnetization is 0.00 Bohr magnetons per cell. Its total DFT energy (no corrections) is -6.34 eV per atom.

Geometry as CIF:
```
data_La2NdThSe4
_symmetry_space_group_name_H-M 'P 1 2/m 1'
_symmetry_Int_Tables_number 10
_symmetry_space_group_name_Hall '-P 2y'
_cell_length_a 7.387
_cell_length_b 4.252
_cell_length_c 7.395
_cell_angle_alpha 90.00
_cell_angle_beta 109.40
_cell_angle_gamma 90.00
loop_
_atom_site_label
_atom_site_fract_x
_atom_site_fract_y
_atom_site_fract_z
_atom_site_occupancy
La1 0.000 0.000 0.000 1
La2 0.000 0.500 0.500 1
Nd1 0.500 0.000 0.500 1
Th1 0.500 0.500 0.000 1
Se1 0.256 0.000 0.752 1
Se2 0.256 0.500 0.251 1
```